Computed, not measured: crystalline InAs2P at its relaxed geometry at the PBE level of DFT.

abc: 3.3391 5.1172 9.5805
angles: 90.00 90.00 90.00
With the nearest neighbours (Å) after each atom.
Space group Immm (No. 71)
Asymmetric unit:
In: 0.0000 0.0000 0.0000  4 P 3.06, 8 As 3.19-3.34, 2 In 3.34
As: 0.0000 0.5000 0.1986  2 P 2.53
P: 0.0000 0.0000 0.5000  4 As 2.53

N(E_F) = 3.76 states/eV per cell
calculated formation energy = 0.306 eV per atom


Computed, not measured: crystalline KC7 at its relaxed geometry at the PBE level of DFT.

abc: 6.8759 6.8759 6.8759
angles: 90.00 90.00 90.00
With the nearest neighbours (Å) after each atom.
Space group Fm-3m (No. 225)
Asymmetric unit:
K: 0.0000 0.0000 0.0000  12 C 2.43
C: 0.0000 0.0000 0.5000  12 C 2.43
C: 0.0000 0.2500 0.2500  10 C 2.43, 2 K 2.43

N(E_F) = 19.76 states/eV per cell
calculated formation energy = 4.527 eV per atom